1) Below is crystalline Ti6ZnGa3 at its relaxed geometry, with properties calculated at the GGA-PBE level.

For the size of the total moment, the calculation gives 0.00 Bohr magnetons per cell. The density of states at the Fermi level is 1.0695 states/eV/atom.

The structure belongs to space group Cmc2_1 (No. 36); the cell edges are 8.0856, 13.6163 and 6.2396 Å and the angles 90.00°, 90.00° and 90.00°. The distinct sites, in fractional coordinates, are Ti at (0.0000, 0.0458, 0.0000), Ti at (0.0000, 0.3518, 0.0769), Ti at (0.2274, 0.4655, 0.7991), Ti at (0.2418, 0.3020, 0.5087), Zn at (0.0000, 0.1793, 0.3039), Ga at (0.0000, 0.4333, 0.5046) and Ga at (0.1605, 0.1266, 0.6456).

2) Below is crystalline Ti6ZnGa3 at its relaxed geometry, with properties calculated at the GGA-PBE level.

For the size of the total moment, the calculation gives 0.00 Bohr magnetons per cell. The density of states at the Fermi level is 0.7712 states/eV/atom.

The structure belongs to space group P2_1/m (No. 11); the cell edges are 7.6909, 4.5868 and 9.7793 Å and the angles 90.00°, 111.81° and 90.00°. The distinct sites, in fractional coordinates, are Ti at (0.0507, 0.2500, 0.4248), Ti at (0.1552, 0.7500, 0.1770), Ti at (0.2519, 0.2500, 0.0223), Ti at (0.3422, 0.7500, 0.7775), Ti at (0.3489, 0.2500, 0.3247), Ti at (0.4364, 0.2500, 0.6280), Zn at (0.4593, 0.7500, 0.0799), Ga at (0.0443, 0.7500, 0.8748), Ga at (0.1361, 0.2500, 0.7212) and Ga at (0.2718, 0.7500, 0.4745).

What are the relative energies? In eV/atom: 1) 0.183; 2) 0.000.

1) Below is crystalline Ti3Zn2Ga4 at its relaxed geometry, with properties calculated at the GGA-PBE level.

For the size of the total moment, the calculation gives 0.00 Bohr magnetons per cell. The density of states at the Fermi level is 0.3328 states/eV/atom.

The structure belongs to space group C2/m (No. 12); the cell edges are 9.5019, 4.2386 and 7.9363 Å and the angles 90.00°, 118.69° and 90.00°. The distinct sites, in fractional coordinates, are Ti at (0.0000, 0.0000, 0.0000), Ti at (0.1652, 0.5000, 0.6686), Zn at (0.1115, 0.5000, 0.2800), Ga at (0.0618, 0.0000, 0.3927) and Ga at (0.2153, 0.5000, 0.0531).

2) Below is crystalline Ti3Zn2Ga4 at its relaxed geometry, with properties calculated at the GGA-PBE level.

For the size of the total moment, the calculation gives 3.75 Bohr magnetons per cell. The density of states at the Fermi level is 0.6537 states/eV/atom.

The structure belongs to space group C2/c (No. 15); the cell edges are 12.1745, 8.5827 and 5.6716 Å and the angles 90.00°, 94.25° and 90.00°. The distinct sites, in fractional coordinates, are Ti at (0.0000, 0.0433, 0.2500), Ti at (0.1045, 0.4100, 0.1717), Zn at (0.2272, 0.1250, 0.3972), Ga at (0.0652, 0.2750, 0.5755) and Ga at (0.1715, 0.1455, 0.9524).

What are the relative energies? In eV/atom: 1) 0.000; 2) 0.168.

1) Below is crystalline Ti5ZnGa2 at its relaxed geometry, with properties calculated at the GGA-PBE level.

For the size of the total moment, the calculation gives 0.01 Bohr magnetons per cell. The density of states at the Fermi level is 0.9823 states/eV/atom.

The structure belongs to space group Cmcm (No. 63); the cell edges are 3.7815, 9.6027 and 14.5043 Å and the angles 90.00°, 90.00° and 90.00°. The distinct sites, in fractional coordinates, are Ti at (0.0000, 0.0386, 0.0924), Ti at (0.0000, 0.3479, 0.0340), Ti at (0.0000, 0.4432, 0.2500), Zn at (0.0000, 0.1620, 0.2500) and Ga at (0.0000, 0.2437, 0.6502).

2) Below is crystalline Ti5ZnGa2 at its relaxed geometry, with properties calculated at the GGA-PBE level.

For the size of the total moment, the calculation gives 0.00 Bohr magnetons per cell. The density of states at the Fermi level is 0.8983 states/eV/atom.

The structure belongs to space group I4/mmm (No. 139); the cell edges are 4.0234, 4.0234 and 15.8107 Å and the angles 90.00°, 90.00° and 90.00°. The distinct sites, in fractional coordinates, are Ti at (0.0000, 0.0000, 0.0000), Ti at (0.0000, 0.5000, 0.1277), Zn at (0.0000, 0.0000, 0.5000) and Ga at (0.0000, 0.0000, 0.2498).

What are the relative energies? In eV/atom: 1) 0.097; 2) 0.000.

1) Below is crystalline ZrTiGa2 at its relaxed geometry, with properties calculated at the GGA-PBE level.

For the size of the total moment, the calculation gives 0.00 Bohr magnetons per cell. The density of states at the Fermi level is 0.8097 states/eV/atom.

The structure belongs to space group R-3m (No. 166, hexagonal axes); the cell edges are 4.3103, 4.3103 and 13.7098 Å and the angles 90.00°, 90.00° and 120.00°. The distinct sites, in fractional coordinates, are Zr at (0.0000, 0.0000, 0.0000), Ti at (0.0000, 0.0000, 0.5000) and Ga at (0.0000, 0.0000, 0.2369).

2) Below is crystalline ZrTiGa2 at its relaxed geometry, with properties calculated at the GGA-PBE level.

For the size of the total moment, the calculation gives 0.00 Bohr magnetons per cell. The density of states at the Fermi level is 0.7789 states/eV/atom.

The structure belongs to space group P4/mmm (No. 123); the cell edges are 2.9645, 2.9645 and 7.9045 Å and the angles 90.00°, 90.00° and 90.00°. The distinct sites, in fractional coordinates, are Zr at (0.0000, 0.0000, 0.0000), Ti at (0.0000, 0.0000, 0.5000) and Ga at (0.5000, 0.5000, 0.2635).

What are the relative energies? In eV/atom: 1) 0.114; 2) 0.000.

1) Below is crystalline Zr4TiGa2 at its relaxed geometry, with properties calculated at the GGA-PBE level.

For the size of the total moment, the calculation gives 0.00 Bohr magnetons per cell. The density of states at the Fermi level is 0.9590 states/eV/atom.

The structure belongs to space group R-3m (No. 166, hexagonal axes); the cell edges are 4.8270, 4.8270 and 23.1044 Å and the angles 90.00°, 90.00° and 120.00°. The distinct sites, in fractional coordinates, are Zr at (0.0000, 0.0000, 0.1308), Zr at (0.0000, 0.0000, 0.2679), Ti at (0.0000, 0.0000, 0.5000) and Ga at (0.0000, 0.0000, 0.3881).

2) Below is crystalline Zr4TiGa2 at its relaxed geometry, with properties calculated at the GGA-PBE level.

For the size of the total moment, the calculation gives 0.00 Bohr magnetons per cell. The density of states at the Fermi level is 0.6703 states/eV/atom.

The structure belongs to space group I4/mmm (No. 139); the cell edges are 4.5711, 4.5711 and 15.3133 Å and the angles 90.00°, 90.00° and 90.00°. The distinct sites, in fractional coordinates, are Zr at (0.0000, 0.0000, 0.1871), Zr at (0.0000, 0.5000, 0.0000), Ti at (0.0000, 0.0000, 0.0000) and Ga at (0.0000, 0.0000, 0.3667).

What are the relative energies? In eV/atom: 1) 0.000; 2) 0.491.

1) Below is crystalline ZrTi4Ga2 at its relaxed geometry, with properties calculated at the GGA-PBE level.

For the size of the total moment, the calculation gives 0.00 Bohr magnetons per cell. The density of states at the Fermi level is 0.8016 states/eV/atom.

The structure belongs to space group Immm (No. 71); the cell edges are 2.7873, 4.4755 and 19.4721 Å and the angles 90.00°, 90.00° and 90.00°. The distinct sites, in fractional coordinates, are Zr at (0.0000, 0.0000, 0.0000), Ti at (0.0000, 0.0000, 0.1454), Ti at (0.0000, 0.5000, 0.2217) and Ga at (0.0000, 0.0000, 0.4139).

2) Below is crystalline ZrTi4Ga2 at its relaxed geometry, with properties calculated at the GGA-PBE level.

For the size of the total moment, the calculation gives 0.00 Bohr magnetons per cell. The density of states at the Fermi level is 0.8129 states/eV/atom.

The structure belongs to space group Cmmm (No. 65); the cell edges are 3.9484, 16.6160 and 3.8018 Å and the angles 90.00°, 90.00° and 90.00°. The distinct sites, in fractional coordinates, are Zr at (0.0000, 0.0000, 0.0000), Ti at (0.0000, 0.1847, 0.5000), Ti at (0.0000, 0.3111, 0.0000) and Ga at (0.0000, 0.4281, 0.5000).

What are the relative energies? In eV/atom: 1) 0.094; 2) 0.000.

1) Below is crystalline ZrTi5Ga6 at its relaxed geometry, with properties calculated at the GGA-PBE level.

For the size of the total moment, the calculation gives 0.00 Bohr magnetons per cell. The density of states at the Fermi level is 1.0701 states/eV/atom.

The structure belongs to space group Immm (No. 71); the cell edges are 4.8370, 5.6420 and 14.5270 Å and the angles 90.00°, 90.00° and 90.00°. The distinct sites, in fractional coordinates, are Zr at (0.0000, 0.0000, 0.0000), Ti at (0.0000, 0.0000, 0.3346), Ti at (0.0000, 0.5000, 0.0000), Ti at (0.0000, 0.5000, 0.3368), Ga at (0.0000, 0.2370, 0.5000) and Ga at (0.0000, 0.2559, 0.1716).

2) Below is crystalline ZrTi5Ga6 at its relaxed geometry, with properties calculated at the GGA-PBE level.

For the size of the total moment, the calculation gives 0.00 Bohr magnetons per cell. The density of states at the Fermi level is 0.6482 states/eV/atom.

The structure belongs to space group C2/m (No. 12); the cell edges are 5.1255, 12.8316 and 6.4977 Å and the angles 90.00°, 104.33° and 90.00°. The distinct sites, in fractional coordinates, are Zr at (0.0000, 0.0000, 0.0000), Ti at (0.0000, 0.0000, 0.5000), Ti at (0.0000, 0.3168, 0.0000), Ti at (0.0000, 0.3591, 0.5000), Ga at (0.0249, 0.1735, 0.7180) and Ga at (0.0408, 0.5000, 0.2135).

What are the relative energies? In eV/atom: 1) 0.000; 2) 0.028.

1) Below is crystalline TlGa3 at its relaxed geometry, with properties calculated at the GGA-PBE level.

For the size of the total moment, the calculation gives 0.00 Bohr magnetons per cell. The density of states at the Fermi level is 0.5626 states/eV/atom.

The structure belongs to space group Pm-3m (No. 221); the cell edges are 4.4507, 4.4507 and 4.4507 Å and the angles 90.00°, 90.00° and 90.00°. The distinct sites, in fractional coordinates, are Tl at (0.0000, 0.0000, 0.0000) and Ga at (0.0000, 0.5000, 0.5000).

2) Below is crystalline TlGa3 at its relaxed geometry, with properties calculated at the GGA-PBE level.

For the size of the total moment, the calculation gives 0.00 Bohr magnetons per cell. The density of states at the Fermi level is 0.4219 states/eV/atom.

The structure belongs to space group Pmm2 (No. 25); the cell edges are 3.6005, 4.3182 and 5.8821 Å and the angles 90.00°, 90.00° and 90.00°. The distinct sites, in fractional coordinates, are Tl at (0.0000, 0.0000, 0.0000), Ga at (0.0000, 0.5000, 0.6115), Ga at (0.5000, 0.0000, 0.5289) and Ga at (0.5000, 0.5000, 0.2165).

What are the relative energies? In eV/atom: 1) 0.036; 2) 0.000.

1) Below is crystalline TlGa3 at its relaxed geometry, with properties calculated at the GGA-PBE level.

For the size of the total moment, the calculation gives 0.00 Bohr magnetons per cell. The density of states at the Fermi level is 0.2706 states/eV/atom.

The structure belongs to space group Fm-3m (No. 225); the cell edges are 7.0972, 7.0972 and 7.0972 Å and the angles 90.00°, 90.00° and 90.00°. The distinct sites, in fractional coordinates, are Tl at (0.0000, 0.0000, 0.0000), Ga at (0.0000, 0.0000, 0.5000) and Ga at (0.2500, 0.2500, 0.2500).

2) Below is crystalline TlGa3 at its relaxed geometry, with properties calculated at the GGA-PBE level.

For the size of the total moment, the calculation gives 0.00 Bohr magnetons per cell. The density of states at the Fermi level is 0.1944 states/eV/atom.

The structure belongs to space group P2_1/m (No. 11); the cell edges are 4.8418, 6.7055 and 5.7975 Å and the angles 90.00°, 109.98° and 90.00°. The distinct sites, in fractional coordinates, are Tl at (0.0803, 0.2500, 0.1559), Ga at (0.1849, 0.7500, 0.4112) and Ga at (0.3908, 0.0489, 0.7504).

3) Below is crystalline TlGa3 at its relaxed geometry, with properties calculated at the GGA-PBE level.

For the size of the total moment, the calculation gives 0.00 Bohr magnetons per cell. The density of states at the Fermi level is 0.3226 states/eV/atom.

The structure belongs to space group Imm2 (No. 44); the cell edges are 3.0811, 10.5644 and 5.5027 Å and the angles 90.00°, 90.00° and 90.00°. The distinct sites, in fractional coordinates, are Tl at (0.0000, 0.0000, 0.0000), Ga at (0.0000, 0.2283, 0.5748) and Ga at (0.0000, 0.5000, 0.9898).

What are the relative energies? In eV/atom: 1) 0.073; 2) 0.000; 3) 0.080.

1) Below is crystalline TlGa2 at its relaxed geometry, with properties calculated at the GGA-PBE level.

For the size of the total moment, the calculation gives 0.00 Bohr magnetons per cell. The density of states at the Fermi level is 0.3683 states/eV/atom.

The structure belongs to space group I4/mmm (No. 139); the cell edges are 3.3220, 3.3220 and 12.6015 Å and the angles 90.00°, 90.00° and 90.00°. The distinct sites, in fractional coordinates, are Tl at (0.0000, 0.0000, 0.0000) and Ga at (0.0000, 0.0000, 0.3134).

2) Below is crystalline TlGa2 at its relaxed geometry, with properties calculated at the GGA-PBE level.

For the size of the total moment, the calculation gives 0.00 Bohr magnetons per cell. The density of states at the Fermi level is 0.2903 states/eV/atom.

The structure belongs to space group Fd-3m (No. 227, origin choice 2); the cell edges are 8.2265, 8.2265 and 8.2265 Å and the angles 90.00°, 90.00° and 90.00°. The distinct sites, in fractional coordinates, are Tl at (0.1250, 0.1250, 0.1250) and Ga at (0.0000, 0.0000, 0.5000).

3) Below is crystalline TlGa2 at its relaxed geometry, with properties calculated at the GGA-PBE level.

For the size of the total moment, the calculation gives 0.00 Bohr magnetons per cell. The density of states at the Fermi level is 0.3121 states/eV/atom.

The structure belongs to space group C2/m (No. 12); the cell edges are 5.8049, 5.7034 and 8.9168 Å and the angles 90.00°, 108.12° and 90.00°. The distinct sites, in fractional coordinates, are Tl at (0.1843, 0.0000, 0.3727), Ga at (0.1134, 0.5000, 0.2326) and Ga at (0.2500, 0.2500, 0.0000).

What are the relative energies? In eV/atom: 1) 0.033; 2) 0.007; 3) 0.000.